Entry 1:
{"formula": "SnHgIr3", "functional": "PBE", "state": "relaxed", "formation_enthalpy_0k_ev_per_atom": 1.6961, "magmom_total_mub_per_fu": 0.0, "dos_ef_per_ev_cell": 6.95, "sg": "Pm-3m", "de_polymorph_mev_per_atom": 0, "cell": [[4.8743, 0.0000, 0.0000], [0.0000, 4.8743, 0.0000], [0.0000, 0.0000, 4.8743]], "species": ["Ir", "Ir", "Ir", "Hg", "Sn"], "fractional_positions": [[0.0000, 0.0000, 0.5000], [0.0000, 0.5000, 0.0000], [0.5000, 0.0000, 0.0000], [0.5000, 0.5000, 0.5000], [0.0000, 0.0000, 0.0000]]}

***

Entry 2:
{"formula": "MgBi2C2", "functional": "PBE", "state": "relaxed", "formation_enthalpy_0k_ev_per_atom": 1.4007, "magmom_total_mub_per_fu": 0.0, "dos_ef_per_ev_cell": 4.36, "sg": "P4/mbm", "de_polymorph_mev_per_atom": 480, "cell": [[-0.7234, -6.7871, -1.9069], [3.8895, -1.9830, 5.5824], [-3.0676, -0.2487, 2.0490]], "species": ["C", "C", "C", "C", "Mg", "Mg", "Bi", "Bi", "Bi", "Bi"], "fractional_positions": [[0.6971, 0.1971, 0.0000], [0.8029, 0.6971, 0.0000], [0.1971, 0.3029, 0.0000], [0.3029, 0.8029, 0.0000], [0.5000, 0.5000, 0.0000], [0.0000, 0.0000, 0.0000], [0.8434, 0.3434, 0.5000], [0.1566, 0.6566, 0.5000], [0.3434, 0.1566, 0.5000], [0.6566, 0.8434, 0.5000]]}